First-principles (GGA-PBE) data for RbTl3Hg4 after structural relaxation, as listed in the Alexandria database.

Geometry as POSCAR:
```
RbTl3Hg4
1.0
2.619 1.512 11.282
-2.619 1.512 11.282
0.000 -3.025 11.282
Rb Tl Hg
1 3 4
direct
0.000 0.000 0.000
0.236 0.236 0.236
0.500 0.500 0.500
0.764 0.764 0.764
0.129 0.129 0.129
0.394 0.394 0.394
0.606 0.606 0.606
0.871 0.871 0.871
```

Calculated values
Volume ... 33.52 Å³ per atom
Calculated total energy ... -1.2533 eV/atom
DOS(E_F) ... 3.65 states/eV/f.u.
Size of the total moment ... 0.00 μB per cell